ThHgP | PBE-GGA | relaxed

Output
* energy of formation: -16.928 kcal/mol of atoms

Lattice parameters (Å, degrees): 4.8694 4.8694 23.1789 90.00 90.00 120.00
Space group R-3m (No. 166, hexagonal axes)
Asymmetric unit:
Th 0.0000 0.0000 0.0942 x6
Hg 0.0000 0.0000 0.3389 x6
P 0.0000 0.0000 0.2153 x6


Sm5ScP6 | PBE-GGA | relaxed

Output
* energy of formation: -35.280 kcal/mol of atoms

Lattice parameters (Å, degrees): 7.0230 12.1623 7.0246 90.00 109.50 90.00
Space group C2/m (No. 12)
Asymmetric unit:
Sm 0.0000 0.0000 0.0000 x2
Sm 0.0000 0.1660 0.5000 x4
Sm 0.0000 0.3316 0.0000 x4
Sc 0.0000 0.5000 0.5000 x2
P 0.2411 0.5000 0.2556 x4
P 0.2422 0.3386 0.7426 x8


Mn2FeRh | PBE-GGA | relaxed

Output
* energy of formation: 12.005 kcal/mol of atoms

Lattice parameters (Å, degrees): 3.5260 3.5260 16.7007 90.00 90.00 90.00
Space group I-42d (No. 122)
Asymmetric unit:
Mn 0.2019 0.2500 0.1250 x8
Fe 0.0000 0.0000 0.0000 x4
Rh 0.0000 0.0000 0.5000 x4


SrCr2Hg | PBE-GGA | relaxed

Output
* energy of formation: 29.308 kcal/mol of atoms

Lattice parameters (Å, degrees): 2.8431 2.8431 9.3835 90.00 90.00 90.00
Space group P4/mmm (No. 123)
Asymmetric unit:
Sr 0.0000 0.0000 0.0000 x1
Cr 0.5000 0.5000 0.2798 x2
Hg 0.0000 0.0000 0.5000 x1


Ba3GaAg | PBE-GGA | relaxed

Output
* energy of formation: -5.230 kcal/mol of atoms

Lattice parameters (Å, degrees): 23.7126 4.5020 8.2355 90.00 100.20 90.00
Space group C2/m (No. 12)
Asymmetric unit:
Ba 0.0150 0.0000 0.2461 x4
Ba 0.1407 0.5000 0.6411 x4
Ba 0.1852 0.0000 0.1351 x4
Ga 0.2434 0.0000 0.5764 x4
Ag 0.0708 0.5000 0.9996 x4


TbTlAgCl5 | PBE-GGA | relaxed

Lattice parameters (Å, degrees): 8.7949 12.5073 10.1779 90.00 111.78 90.00
Space group C2/c (No. 15)
Asymmetric unit:
Tb 0.0000 0.0000 0.0000 x4
Tl 0.0000 0.3479 0.2500 x4
Ag 0.0000 0.3100 0.7500 x4
Cl 0.0000 0.0704 0.2500 x4
Cl 0.1074 0.1948 0.5932 x8
Cl 0.1893 0.4455 0.9357 x8


LiRhAu3 | PBE-GGA | relaxed

Output
* energy of formation: 12.362 kcal/mol of atoms

Lattice parameters (Å, degrees): 5.0623 5.0623 5.0623 90.00 90.00 90.00
Space group Pm-3m (No. 221)
Asymmetric unit:
Li 0.0000 0.0000 0.0000 x1
Rh 0.5000 0.5000 0.5000 x1
Au 0.0000 0.5000 0.5000 x3


Mo2RuCl | PBE-GGA | relaxed

Lattice parameters (Å, degrees): 5.5757 5.5757 10.6724 90.00 90.00 90.00
Space group I-42d (No. 122)
Asymmetric unit:
Mo 0.2450 0.2500 0.1250 x8
Ru 0.0000 0.0000 0.5000 x4
Cl 0.0000 0.0000 0.0000 x4


no.,total energy (hartree per atom),DOS at the Fermi energy (states/eV per atom)
1,-0.1878,0.287
2,-0.2473,0.136
3,-0.2946,1.401
4,-0.1483,1.005
5,-0.0939,1.068
6,-0.1434,0.000
7,-0.1207,1.254
8,-0.2647,0.890